# DySc2Hg PBE-GGA relaxed
# ΔH_f (0 K) = -0.18 eV per atom
# VASP energy = -0.3360 Ry/atom
# DOS at the Fermi energy = 4.84 states/eV per cell
# V = 96.77 Å³ per cell
data_DySc2Hg
_chemical_formula_sum 'Dy1 Sc2 Hg1'
_cell_length_a 4.5840
_cell_length_b 4.5840
_cell_length_c 4.6053
_cell_angle_alpha 90.00
_cell_angle_beta 90.00
_cell_angle_gamma 90.00
_space_group_name_H-M_alt 'P 4/m m m'
_space_group_IT_number 123
_space_group_name_Hall '-P 4 2'
loop_
_atom_site_label
_atom_site_fract_x
_atom_site_fract_y
_atom_site_fract_z
Dy1 0.0000 0.0000 0.0000
Sc1 0.0000 0.5000 0.5000
Hg1 0.5000 0.5000 0.0000